(1)
! Nd6Sn2C PBE-GGA optimized geometry; values from VASP
! N(E_F) in states/eV/f.u.: 8.38
! Energy relative to the elements in eV per formula unit: -4.0
! Polymorph energy (0 for the lowest one) in meV/atom: 0
! Density in g/cm³: 7.16
&SYSTEM
  ibrav = 0, nat = 18, ntyp = 3
/
ATOMIC_SPECIES
Nd 144.24 Nd.upf
Sn 118.71 Sn.upf
C 12.01 C.upf
CELL_PARAMETERS angstrom
-4.816 5.127 1.255
-1.820 -0.018 -6.907
-7.025 -7.056 1.869
ATOMIC_POSITIONS angstrom
Nd -1.786 -1.794 0.475
Nd -8.512 0.322 -3.328
Nd -4.953 3.811 -4.218
Nd -7.590 0.333 0.179
Nd -4.058 3.821 -0.817
Nd -5.044 0.820 -2.367
Nd -11.874 -0.154 -4.258
Nd -5.149 -2.270 -0.455
Nd -8.708 -5.759 0.435
Nd -6.071 -2.281 -3.962
Nd -9.602 -5.769 -2.966
Nd -8.616 -2.768 -1.416
Sn -10.993 -0.175 -0.796
Sn -9.497 -2.747 -4.877
Sn -4.163 0.799 1.094
Sn -2.667 -1.773 -2.987
C -3.318 2.554 -2.826
C -3.513 -3.528 0.935

=====

(2)
! BeCu2P PBE-GGA optimized geometry; values from VASP
! N(E_F) in states/eV/f.u.: 1.65
! Energy relative to the elements in eV per formula unit: 1.1
! Polymorph energy (0 for the lowest one) in meV/atom: 226
! Density in g/cm³: 5.82
&SYSTEM
  ibrav = 0, nat = 4, ntyp = 3
/
ATOMIC_SPECIES
P 30.97 P.upf
Cu 63.55 Cu.upf
Be 9.01 Be.upf
CELL_PARAMETERS angstrom
4.071 0.000 0.000
2.035 3.525 0.000
2.035 1.175 3.324
ATOMIC_POSITIONS angstrom
P 6.106 3.525 2.493
Cu 0.000 0.000 0.000
Cu 2.035 1.175 0.831
Be 4.071 2.350 1.662